1.
HfMnVRe: optimized geometry, PBE-GGA.

The structure belongs to space group F-43m (No. 216); the cell edges are 6.209, 6.209 and 6.209 Å and the angles 90.00°, 90.00° and 90.00°. The distinct sites, in fractional coordinates, are Hf at (0.000, 0.000, 0.000), Mn at (0.250, 0.250, 0.250), V at (0.000, 0.000, 0.500) and Re at (0.250, 0.250, 0.750).

The formation energy is -4.1 kcal/mol of atoms. Its volume is 14.96 Å³ per atom. As for the size of the total moment: 1.95 μB/cell.

2.
AsPRu2: optimized geometry, PBE-GGA.

The structure belongs to space group F-43m (No. 216); the cell edges are 6.161, 6.161 and 6.161 Å and the angles 90.00°, 90.00° and 90.00°. The distinct sites, in fractional coordinates, are As at (0.000, 0.000, 0.000), P at (0.250, 0.250, 0.750), Ru at (0.000, 0.000, 0.500) and Ru at (0.250, 0.250, 0.250).

The formation energy is 11.3 kcal/mol of atoms. Its volume is 14.62 Å³ per atom. As for the size of the total moment: 0.00 μB/cell. The calculation puts the energy above the lowest structure with this stoichiometry at 779 meV per atom.

3.
SrCBr3: optimized geometry, PBE-GGA.

The structure belongs to space group Pm-3m (No. 221); the cell edges are 4.926, 4.926 and 4.926 Å and the angles 90.00°, 90.00° and 90.00°. The distinct sites, in fractional coordinates, are Sr at (0.000, 0.000, 0.000), C at (0.500, 0.500, 0.500) and Br at (0.000, 0.500, 0.500).

Its volume is 23.91 Å³ per atom. As for the size of the total moment: 0.00 μB/cell. The calculation puts the raw formation energy at -0.08 eV per atom.

4.
NiSn2Hg: optimized geometry, PBE-GGA.

The structure belongs to space group R-3m (No. 166, hexagonal axes); the cell edges are 3.5339, 3.5339 and 26.7044 Å and the angles 90.00°, 90.00° and 120.00°. The distinct sites, in fractional coordinates, are Ni at (0.0000, 0.0000, 0.0000), Sn at (0.0000, 0.0000, 0.3935) and Hg at (0.0000, 0.0000, 0.5000).

The formation energy is -0.5 kcal/mol of atoms. Its volume is 24.07 Å³ per atom. As for the size of the total moment: 0.00 μB/cell.

5.
Mg6Ag5Au: optimized geometry, PBE-GGA.

The structure belongs to space group Cmmm (No. 65); the cell edges are 4.662, 13.970 and 6.771 Å and the angles 90.00°, 90.00° and 90.00°. The distinct sites, in fractional coordinates, are Mg at (0.000, 0.000, 0.244), Mg at (0.000, 0.336, 0.250), Ag at (0.000, 0.166, 0.500), Ag at (0.000, 0.171, 0.000), Ag at (0.000, 0.500, 0.500) and Au at (0.000, 0.500, 0.000).

The formation energy is -7.1 kcal/mol of atoms. Its volume is 18.37 Å³ per atom. As for the size of the total moment: 0.00 μB/cell.

6.
K2AlBr: optimized geometry, PBE-GGA.

The structure belongs to space group I4/mmm (No. 139); the cell edges are 5.448, 5.448 and 9.952 Å and the angles 90.00°, 90.00° and 90.00°. The distinct sites, in fractional coordinates, are K at (0.000, 0.500, 0.250), Al at (0.000, 0.000, 0.000) and Br at (0.000, 0.000, 0.500).

Its volume is 36.92 Å³ per atom. As for the size of the total moment: 1.42 μB/cell. The calculation puts the raw formation energy at -0.24 eV per atom. The calculation puts the energy above the lowest structure with this stoichiometry at 277 meV per atom.

7.
Tb2Dy7Tm2: optimized geometry, PBE-GGA.

The structure belongs to space group Imm2 (No. 44); the cell edges are 5.489, 15.748 and 8.062 Å and the angles 90.00°, 90.00° and 90.00°. The distinct sites, in fractional coordinates, are Tb at (0.000, 0.201, 0.000), Dy at (0.000, 0.000, 0.795), Dy at (0.000, 0.161, 0.500), Dy at (0.000, 0.363, 0.293), Dy at (0.000, 0.364, 0.707), Tm at (0.000, 0.000, 0.210) and Tm at (0.000, 0.500, 0.000).

The formation energy is 2.7 kcal/mol of atoms. Its volume is 31.68 Å³ per atom. As for the size of the total moment: 0.00 μB/cell. The calculation puts the energy above the lowest structure with this stoichiometry at 8 meV per atom.

8.
SrIn4Au4: optimized geometry, PBE-GGA.

The structure belongs to space group P4_2/nmc (No. 137, origin choice 2); the cell edges are 6.985, 6.985 and 9.237 Å and the angles 90.00°, 90.00° and 90.00°. The distinct sites, in fractional coordinates, are Sr at (0.250, 0.750, 0.250), In at (0.010, 0.250, 0.128) and Au at (0.045, 0.250, 0.430).

The formation energy is -8.5 kcal/mol of atoms. Its volume is 25.04 Å³ per atom. As for the size of the total moment: 0.00 μB/cell.

9.
MnGaSn3: optimized geometry, PBE-GGA.

The structure belongs to space group Pm-3m (No. 221); the cell edges are 5.008, 5.008 and 5.008 Å and the angles 90.00°, 90.00° and 90.00°. The distinct sites, in fractional coordinates, are Mn at (0.000, 0.000, 0.000), Ga at (0.500, 0.500, 0.500) and Sn at (0.000, 0.000, 0.500).

The formation energy is 5.1 kcal/mol of atoms. Its volume is 25.12 Å³ per atom. As for the size of the total moment: 1.81 μB/cell.

10.
Nd5SmEr2: optimized geometry, PBE-GGA.

The structure belongs to space group Pbam (No. 55); the cell edges are 7.256, 14.505 and 5.132 Å and the angles 90.00°, 90.00° and 90.00°. The distinct sites, in fractional coordinates, are Nd at (0.000, 0.000, 0.000), Nd at (0.000, 0.250, 0.000), Nd at (0.249, 0.375, 0.500), Sm at (0.000, 0.500, 0.000) and Er at (0.250, 0.125, 0.500).

The formation energy is 0.3 kcal/mol of atoms. Its volume is 33.76 Å³ per atom. As for the size of the total moment: 0.00 μB/cell. The calculation puts the energy above the lowest structure with this stoichiometry at 0 meV per atom.

11.
K2VBr4: optimized geometry, PBE-GGA.

The structure belongs to space group I4/mmm (No. 139); the cell edges are 5.272, 5.272 and 16.512 Å and the angles 90.00°, 90.00° and 90.00°. The distinct sites, in fractional coordinates, are K at (0.000, 0.000, 0.140), V at (0.000, 0.000, 0.500), Br at (0.000, 0.000, 0.340) and Br at (0.000, 0.500, 0.000).

Its volume is 32.78 Å³ per atom. As for the size of the total moment: 6.00 μB/cell. The calculation puts the raw formation energy at -1.29 eV per atom.

12.
LaAgPt: optimized geometry, PBE-GGA.

The structure belongs to space group F-43m (No. 216); the cell edges are 6.963, 6.963 and 6.963 Å and the angles 90.00°, 90.00° and 90.00°. The distinct sites, in fractional coordinates, are La at (0.000, 0.000, 0.000), Ag at (0.250, 0.250, 0.750) and Pt at (0.250, 0.250, 0.250).

The formation energy is -6.0 kcal/mol of atoms. Its volume is 28.13 Å³ per atom. As for the size of the total moment: 0.00 μB/cell. The calculation puts the energy above the lowest structure with this stoichiometry at 512 meV per atom.